# KTc3H

A relaxed KTc3H crystal (PBE-GGA, Alexandria via LeMat-Bulk).

Energy above the lowest structure with this stoichiometry   2.412 eV per atom
DOS at the Fermi energy   7.3 states/eV/f.u.
Calculated density   5972 kg/m³
Space-group type   Pm-3m, No. 221

Lattice parameters (Å, degrees): 4.5289 4.5289 4.5289 90.00 90.00 90.00
Atoms (fractional coordinates):
K  0.0000  0.0000  0.0000
Tc  0.0000  0.0000  0.5000
Tc  0.0000  0.5000  0.0000
Tc  0.5000  0.0000  0.0000
H  0.5000  0.5000  0.5000

# K3TcH

A relaxed K3TcH crystal (PBE-GGA, Alexandria via LeMat-Bulk).

Energy above the lowest structure with this stoichiometry   0.000 eV per atom
DOS at the Fermi energy   2.5 states/eV/f.u.
Calculated density   2187 kg/m³
Space-group type   Pm-3m, No. 221

Lattice parameters (Å, degrees): 5.4762 5.4762 5.4762 90.00 90.00 90.00
Atoms (fractional coordinates):
K  0.0000  0.0000  0.5000
K  0.0000  0.5000  0.0000
K  0.5000  0.0000  0.0000
Tc  0.5000  0.5000  0.5000
H  0.0000  0.0000  0.0000

# K3TcH6

A relaxed K3TcH6 crystal (PBE-GGA, Alexandria via LeMat-Bulk).

Calculated total energy   -3.46 eV/atom
DOS at the Fermi energy   4.4 states/eV/f.u.
Calculated density   2352 kg/m³
Space-group type   C2/m, No. 12

Lattice parameters (Å, degrees): 6.0478 6.0478 6.0381 119.94 119.94 59.95
Atoms (fractional coordinates):
K  0.0000  0.0000  0.0000
K  0.2478  0.2478  0.7479
K  0.7522  0.7522  0.2521
Tc  0.5000  0.5000  0.5000
H  0.2867  0.7118  0.7035
H  0.2882  0.7133  0.2965
H  0.2923  0.2923  0.2908
H  0.7077  0.7077  0.7092
H  0.7118  0.2867  0.7035
H  0.7133  0.2882  0.2965

# KTc2H

A relaxed KTc2H crystal (PBE-GGA, Alexandria via LeMat-Bulk).

Energy above the lowest structure with this stoichiometry   0.000 eV per atom
DOS at the Fermi energy   5.5 states/eV/f.u.
Calculated density   5742 kg/m³
Space-group type   I4_1/amd, No. 141

Lattice parameters (Å, degrees): 5.7759 5.7759 5.7759 119.84 119.84 90.27
Atoms (fractional coordinates):
K  0.3750  0.6250  0.7500
K  0.6250  0.3750  0.2500
Tc  0.0000  0.0000  0.0000
Tc  0.0000  0.0000  0.5000
Tc  0.0000  0.5000  0.0000
Tc  0.5000  0.0000  0.5000
H  0.1250  0.8750  0.2500
H  0.8750  0.1250  0.7500

# KTc2H

A relaxed KTc2H crystal (PBE-GGA, Alexandria via LeMat-Bulk).

Energy above the lowest structure with this stoichiometry   1.372 eV per atom
DOS at the Fermi energy   4.8 states/eV/f.u.
Calculated density   5517 kg/m³
Space-group type   Fm-3m, No. 225

Lattice parameters (Å, degrees): 4.6494 4.6494 4.6494 60.00 60.00 60.00
Atoms (fractional coordinates):
K  0.0000  0.0000  0.0000
Tc  0.2500  0.2500  0.2500
Tc  0.7500  0.7500  0.7500
H  0.5000  0.5000  0.5000

# K2TcH9

A relaxed K2TcH9 crystal (PBE-GGA, Alexandria via LeMat-Bulk).

Calculated total energy   -3.81 eV/atom
DOS at the Fermi energy   0.0 states/eV/f.u.
Calculated density   2192 kg/m³
Space-group type   P-62m, No. 189

Lattice parameters (Å, degrees): 9.4122 9.4122 5.4871 90.00 90.00 120.00
Atoms (fractional coordinates):
K  0.0000  0.2626  0.0000
K  0.0000  0.5918  0.5000
K  0.2626  0.0000  0.0000
K  0.4082  0.4082  0.5000
K  0.5918  0.0000  0.5000
K  0.7374  0.7374  0.0000
Tc  0.0000  0.0000  0.5000
Tc  0.3333  0.6667  0.0000
Tc  0.6667  0.3333  0.0000
H  0.0000  0.1772  0.5000
H  0.0000  0.8716  0.2854
H  0.0000  0.8716  0.7146
H  0.1284  0.1284  0.2854
H  0.1284  0.1284  0.7146
H  0.1413  0.6311  0.0000
H  0.1772  0.0000  0.5000
H  0.2241  0.5313  0.2232
H  0.2241  0.5313  0.7768
H  0.3073  0.7759  0.2232
H  0.3073  0.7759  0.7768
H  0.3689  0.5102  0.0000
H  0.4687  0.6927  0.2232
H  0.4687  0.6927  0.7768
H  0.4898  0.8587  0.0000
H  0.5102  0.3689  0.0000
H  0.5313  0.2241  0.2232
H  0.5313  0.2241  0.7768
H  0.6311  0.1413  0.0000
H  0.6927  0.4687  0.2232
H  0.6927  0.4687  0.7768
H  0.7759  0.3073  0.2232
H  0.7759  0.3073  0.7768
H  0.8228  0.8228  0.5000
H  0.8587  0.4898  0.0000
H  0.8716  0.0000  0.2854
H  0.8716  0.0000  0.7146

# KTc3H

A relaxed KTc3H crystal (PBE-GGA, Alexandria via LeMat-Bulk).

Energy above the lowest structure with this stoichiometry   0.000 eV per atom
DOS at the Fermi energy   7.8 states/eV/f.u.
Calculated density   7720 kg/m³
Space-group type   Pm-3m, No. 221

Lattice parameters (Å, degrees): 4.1576 4.1576 4.1576 90.00 90.00 90.00
Atoms (fractional coordinates):
K  0.0000  0.0000  0.0000
Tc  0.0000  0.5000  0.5000
Tc  0.5000  0.0000  0.5000
Tc  0.5000  0.5000  0.0000
H  0.5000  0.5000  0.5000

# K5Tc2H12

A relaxed K5Tc2H12 crystal (PBE-GGA, Alexandria via LeMat-Bulk).

Calculated total energy   -3.61 eV/atom
DOS at the Fermi energy   6.5 states/eV/f.u.
Calculated density   2720 kg/m³
Space-group type   Immm, No. 71

Lattice parameters (Å, degrees): 6.9648 6.9648 6.9648 124.14 105.94 99.44
Atoms (fractional coordinates):
K  0.0000  0.0000  0.0000
K  0.0002  0.2788  0.7214
K  0.9998  0.7212  0.2786
K  0.4426  0.7212  0.7214
K  0.5574  0.2788  0.2786
Tc  0.5000  0.2499  0.7499
Tc  0.5000  0.7501  0.2501
H  0.2861  0.2217  0.5077
H  0.2861  0.7783  0.0644
H  0.3011  0.0811  0.7800
H  0.3011  0.5211  0.2200
H  0.3980  0.5000  0.8980
H  0.4054  0.9054  0.5000
H  0.5946  0.0946  0.5000
H  0.6020  0.5000  0.1020
H  0.6989  0.4789  0.7800
H  0.6989  0.9189  0.2200
H  0.7139  0.2217  0.9356
H  0.7139  0.7783  0.4923